Ce2NdAl2Ge2 (GGA-PBE, optimized geometry); energy relative to the elements = -401 meV/atom
1.0
2.191 1.265 9.407
-2.191 1.265 9.407
0.000 -2.530 9.407
Ce Nd Al Ge
2 1 2 2
Direct
0.139 0.139 0.139
0.861 0.861 0.861
0.000 0.000 0.000
0.409 0.409 0.409
0.591 0.591 0.591
0.263 0.263 0.263
0.737 0.737 0.737

---

Ce2Nd2AlGe4 (GGA-PBE, optimized geometry); energy relative to the elements = -316 meV/atom
1.0
-3.593 3.593 4.304
3.593 -3.593 4.304
3.593 3.593 -4.304
Ce Nd Al Ge
2 2 1 4
Direct
0.173 0.173 0.000
0.827 0.827 0.000
0.250 0.750 0.500
0.750 0.250 0.500
0.500 0.500 0.000
0.255 0.255 0.511
0.255 0.745 0.000
0.745 0.255 0.000
0.745 0.745 0.489

---

CeAlNiGe (GGA-PBE, optimized geometry); energy relative to the elements = -591 meV/atom
1.0
2.035 1.175 5.287
-2.035 1.175 5.287
0.000 -2.350 5.287
Ce Al Ni Ge
1 1 1 1
Direct
0.000 0.000 0.000
0.792 0.792 0.792
0.505 0.505 0.505
0.213 0.213 0.213

---

Q: Which of these has the highest energy relative to the elements?
A: Ce2Nd2AlGe4